DFT (PBEsol) results for a geometry-optimized Co2TeW structure.

Unit cell a=2.9108 b=4.5060 c=4.5060 alpha=108.11 beta=90.00 gamma=90.00
Each line ends with the local moment (μB).
Atoms (fractional coordinates):
Te (0.5000, 0.0000, 0.0000)  0.00
Co (0.0000, 0.5000, 0.0000)  0.27
Co (0.0000, 0.0000, 0.5000)  0.27
W (0.5000, 0.5000, 0.5000)  0.02

Computed properties:
D(E_F), states/eV per cell: 4.4
Energy relative to the elements, uncorrected, eV/f.u.: 1.90



DFT (PBEsol) results for a geometry-optimized Ta2ZnCo structure.

Unit cell a=2.8700 b=4.5233 c=5.2604 alpha=115.46 beta=105.83 gamma=90.00
Atoms (fractional coordinates):
Co (0.2479, 0.2479, 0.4959)
Ta (0.9786, 0.4786, 0.9571)
Ta (0.7469, 0.7469, 0.4938)
Zn (0.5266, 0.0266, 0.0532)

Computed properties:
Formation energy, meV/atom: 7
D(E_F), states/eV per cell: 3.1



DFT (PBEsol) results for a geometry-optimized RbSr3Cu structure.

Unit cell a=6.1494 b=6.1494 c=6.1494 alpha=90.00 beta=90.00 gamma=90.00
Atoms (fractional coordinates):
Sr (0.0000, 0.5000, 0.0000)
Sr (0.0000, 0.0000, 0.5000)
Sr (0.5000, 0.0000, 0.0000)
Rb (0.5000, 0.5000, 0.5000)
Cu (0.0000, 0.0000, 0.0000)

Computed properties:
Formation energy, meV/atom: 81
D(E_F), states/eV per cell: 3.8



DFT (PBEsol) results for a geometry-optimized K2HgBr structure.

Unit cell a=3.9519 b=3.9520 c=8.2502 alpha=90.00 beta=90.02 gamma=90.00
Atoms (fractional coordinates):
K (0.0001, 0.0000, 0.7700)
K (0.9999, 0.0000, 0.2300)
Hg (0.5000, 0.5000, 0.5000)
Br (0.5000, 0.5000, 0.0000)

Computed properties:
Energy relative to the lowest polymorph listed for this composition, eV/atom: 0.000
D(E_F), states/eV per cell: 1.2
Energy relative to the elements, uncorrected, eV/f.u.: -3.54



Q: D(E_F) of number 2 (Ta2ZnCo)?
A: 3.1 states/eV per cell